Record 1
Below is Sc2Al3Zn4 after structural relaxation, with properties calculated at the GGA-PBE level.

Calculated values
Electronic total energy (eV per atom): -3.496
Calculated density (g/cm³): 4.6
Spin magnetization (μB per cell): 0.000
Symmetry: Cmce (64)
Energy relative to the elements (kJ/mol of formula units): -239

Unit cell a=8.066 b=8.066 c=7.385 alpha=90.00 beta=90.00 gamma=139.76
Element x y z (fractional)
Sc 0.099 0.901 0.893
Sc 0.401 0.599 0.393
Sc 0.599 0.401 0.607
Sc 0.901 0.099 0.107
Al 0.000 0.000 0.500
Al 0.010 0.490 0.750
Al 0.490 0.010 0.250
Al 0.500 0.500 0.000
Al 0.510 0.990 0.750
Al 0.990 0.510 0.250
Zn 0.169 0.831 0.515
Zn 0.182 0.318 0.750
Zn 0.318 0.182 0.250
Zn 0.331 0.669 0.015
Zn 0.669 0.331 0.985
Zn 0.682 0.818 0.750
Zn 0.818 0.682 0.250
Zn 0.831 0.169 0.485

=====

Record 2
Below is Sc6AlZn2 after structural relaxation, with properties calculated at the GGA-PBE level.

Calculated values
Electronic total energy (eV per atom): -5.162
Calculated density (g/cm³): 3.7
Spin magnetization (μB per cell): 0.000
Symmetry: Immm (71)
Energy relative to the elements (kJ/mol of formula units): -210

Unit cell a=7.946 b=7.946 c=7.946 alpha=111.15 beta=108.87 gamma=108.41
Element x y z (fractional)
Sc 0.044 0.820 0.224
Sc 0.247 0.546 0.299
Sc 0.247 0.948 0.701
Sc 0.268 0.318 0.587
Sc 0.268 0.682 0.950
Sc 0.404 0.180 0.224
Sc 0.596 0.820 0.776
Sc 0.732 0.318 0.050
Sc 0.732 0.682 0.413
Sc 0.753 0.052 0.299
Sc 0.753 0.454 0.701
Sc 0.956 0.180 0.776
Al 0.000 0.500 0.500
Al 0.500 0.000 0.500
Zn 0.000 0.140 0.140
Zn 0.000 0.860 0.860
Zn 0.369 0.369 0.000
Zn 0.631 0.631 0.000

=====

Record 3
Below is Sc5AlZn4 after structural relaxation, with properties calculated at the GGA-PBE level.

Calculated values
Electronic total energy (eV per atom): -4.444
Calculated density (g/cm³): 4.5
Spin magnetization (μB per cell): 0.000
Symmetry: P4/mmm (123)
Energy relative to the elements (kJ/mol of formula units): -380

Unit cell a=3.353 b=3.353 c=16.823 alpha=90.00 beta=90.00 gamma=90.00
Element x y z (fractional)
Sc 0.000 0.000 0.000
Sc 0.000 0.000 0.199
Sc 0.000 0.000 0.396
Sc 0.000 0.000 0.604
Sc 0.000 0.000 0.801
Al 0.500 0.500 0.500
Zn 0.500 0.500 0.100
Zn 0.500 0.500 0.298
Zn 0.500 0.500 0.702
Zn 0.500 0.500 0.900